i | First-principles (PBE-GGA) data for a relaxed structure of SrSbI2N, as listed in Alexandria.

Results
The calculation puts the volume at 35.72 A^3/atom.

```
data_SrSbI2N
_chemical_formula_sum 'Sr1 Sb1 I2 N1'
_space_group_name_H-M_alt 'P 4/m m m'
_space_group_IT_number 123
_space_group_name_Hall '-P 4 2'
_cell_length_a 6.351
_cell_length_b 6.351
_cell_length_c 4.429
_cell_angle_alpha 90.00
_cell_angle_beta 90.00
_cell_angle_gamma 90.00
loop_
_atom_site_label
_atom_site_type_symbol
_atom_site_fract_x
_atom_site_fract_y
_atom_site_fract_z
Sr1 Sr 0.000 0.000 0.000
Sb1 Sb 0.500 0.500 0.500
I1 I 0.000 0.500 0.000
N1 N 0.000 0.000 0.500
```

***

ii | First-principles (PBE-GGA) data for a relaxed structure of SrSbI2N, as listed in Alexandria.

Results
The calculation puts the volume at 59.57 A^3/atom.

```
data_SrSbI2N
_chemical_formula_sum 'Sr1 Sb1 I2 N1'
_space_group_name_H-M_alt 'P 4/m m m'
_space_group_IT_number 123
_space_group_name_Hall '-P 4 2'
_cell_length_a 6.386
_cell_length_b 6.386
_cell_length_c 7.305
_cell_angle_alpha 90.00
_cell_angle_beta 90.00
_cell_angle_gamma 90.00
loop_
_atom_site_label
_atom_site_type_symbol
_atom_site_fract_x
_atom_site_fract_y
_atom_site_fract_z
Sr1 Sr 0.000 0.000 0.000
Sb1 Sb 0.000 0.000 0.500
I1 I 0.000 0.500 0.000
N1 N 0.500 0.500 0.500
```

***

Most stable of them? i.

***

i | First-principles (PBE-GGA) data for a relaxed structure of SrSbIN2, as listed in Alexandria.

Results
The calculation puts the volume at 27.50 A^3/atom.

```
data_SrSbIN2
_chemical_formula_sum 'Sr1 Sb1 I1 N2'
_space_group_name_H-M_alt 'P 4/m m m'
_space_group_IT_number 123
_space_group_name_Hall '-P 4 2'
_cell_length_a 4.679
_cell_length_b 4.679
_cell_length_c 6.282
_cell_angle_alpha 90.00
_cell_angle_beta 90.00
_cell_angle_gamma 90.00
loop_
_atom_site_label
_atom_site_type_symbol
_atom_site_fract_x
_atom_site_fract_y
_atom_site_fract_z
Sr1 Sr 0.000 0.000 0.000
Sb1 Sb 0.500 0.500 0.500
I1 I 0.000 0.000 0.500
N1 N 0.000 0.500 0.000
```

***

ii | First-principles (PBE-GGA) data for a relaxed structure of SrSbIN2, as listed in Alexandria.

Results
The calculation puts the volume at 23.02 A^3/atom.

```
data_SrSbIN2
_chemical_formula_sum 'Sr1 Sb1 I1 N2'
_space_group_name_H-M_alt 'P 4/m m m'
_space_group_IT_number 123
_space_group_name_Hall '-P 4 2'
_cell_length_a 4.369
_cell_length_b 4.369
_cell_length_c 6.029
_cell_angle_alpha 90.00
_cell_angle_beta 90.00
_cell_angle_gamma 90.00
loop_
_atom_site_label
_atom_site_type_symbol
_atom_site_fract_x
_atom_site_fract_y
_atom_site_fract_z
Sr1 Sr 0.000 0.000 0.000
Sb1 Sb 0.500 0.500 0.500
I1 I 0.500 0.500 0.000
N1 N 0.000 0.500 0.500
```

***

Most stable of them? ii.

***

i | First-principles (PBE-GGA) data for a relaxed structure of TaSbI2N, as listed in Alexandria.

Results
The calculation puts the volume at 31.82 A^3/atom.

```
data_TaSbI2N
_chemical_formula_sum 'Ta1 Sb1 I2 N1'
_space_group_name_H-M_alt 'P 4/m m m'
_space_group_IT_number 123
_space_group_name_Hall '-P 4 2'
_cell_length_a 5.370
_cell_length_b 5.370
_cell_length_c 5.517
_cell_angle_alpha 90.00
_cell_angle_beta 90.00
_cell_angle_gamma 90.00
loop_
_atom_site_label
_atom_site_type_symbol
_atom_site_fract_x
_atom_site_fract_y
_atom_site_fract_z
Ta1 Ta 0.000 0.000 0.000
Sb1 Sb 0.000 0.000 0.500
I1 I 0.000 0.500 0.000
N1 N 0.500 0.500 0.500
```

***

ii | First-principles (PBE-GGA) data for a relaxed structure of TaSbI2N, as listed in Alexandria.

Results
The calculation puts the volume at 29.11 A^3/atom.

```
data_TaSbI2N
_chemical_formula_sum 'Ta1 Sb1 I2 N1'
_space_group_name_H-M_alt 'P 4/m m m'
_space_group_IT_number 123
_space_group_name_Hall '-P 4 2'
_cell_length_a 6.118
_cell_length_b 6.118
_cell_length_c 3.889
_cell_angle_alpha 90.00
_cell_angle_beta 90.00
_cell_angle_gamma 90.00
loop_
_atom_site_label
_atom_site_type_symbol
_atom_site_fract_x
_atom_site_fract_y
_atom_site_fract_z
Ta1 Ta 0.000 0.000 0.000
Sb1 Sb 0.500 0.500 0.500
I1 I 0.000 0.500 0.500
N1 N 0.500 0.500 0.000
```

***

Most stable of them? ii.

***

i | First-principles (PBE-GGA) data for a relaxed structure of TaSbI2N, as listed in Alexandria.

Results
The calculation puts the volume at 26.01 A^3/atom.

```
data_TaSbI2N
_chemical_formula_sum 'Ta1 Sb1 I2 N1'
_space_group_name_H-M_alt 'P 4/m m m'
_space_group_IT_number 123
_space_group_name_Hall '-P 4 2'
_cell_length_a 5.764
_cell_length_b 5.764
_cell_length_c 3.915
_cell_angle_alpha 90.00
_cell_angle_beta 90.00
_cell_angle_gamma 90.00
loop_
_atom_site_label
_atom_site_type_symbol
_atom_site_fract_x
_atom_site_fract_y
_atom_site_fract_z
Ta1 Ta 0.000 0.000 0.000
Sb1 Sb 0.500 0.500 0.500
I1 I 0.000 0.500 0.000
N1 N 0.000 0.000 0.500
```

***

ii | First-principles (PBE-GGA) data for a relaxed structure of TaSbI2N, as listed in Alexandria.

Results
The calculation puts the volume at 22.18 A^3/atom.

```
data_TaSbI2N
_chemical_formula_sum 'Ta1 Sb1 I2 N1'
_space_group_name_H-M_alt 'P 4/m m m'
_space_group_IT_number 123
_space_group_name_Hall '-P 4 2'
_cell_length_a 4.797
_cell_length_b 4.797
_cell_length_c 4.819
_cell_angle_alpha 90.00
_cell_angle_beta 90.00
_cell_angle_gamma 90.00
loop_
_atom_site_label
_atom_site_type_symbol
_atom_site_fract_x
_atom_site_fract_y
_atom_site_fract_z
Ta1 Ta 0.000 0.000 0.000
Sb1 Sb 0.500 0.500 0.000
I1 I 0.000 0.500 0.500
N1 N 0.500 0.500 0.500
```

***

Most stable of them? i.

***

i | First-principles (PBE-GGA) data for a relaxed structure of TaSbIN2, as listed in Alexandria.

Results
The calculation puts the volume at 20.00 A^3/atom.

```
data_TaSbIN2
_chemical_formula_sum 'Ta1 Sb1 I1 N2'
_space_group_name_H-M_alt 'P 4/m m m'
_space_group_IT_number 123
_space_group_name_Hall '-P 4 2'
_cell_length_a 4.181
_cell_length_b 4.181
_cell_length_c 5.721
_cell_angle_alpha 90.00
_cell_angle_beta 90.00
_cell_angle_gamma 90.00
loop_
_atom_site_label
_atom_site_type_symbol
_atom_site_fract_x
_atom_site_fract_y
_atom_site_fract_z
Ta1 Ta 0.000 0.000 0.000
Sb1 Sb 0.500 0.500 0.500
I1 I 0.000 0.000 0.500
N1 N 0.000 0.500 0.000
```

***

ii | First-principles (PBE-GGA) data for a relaxed structure of TaSbIN2, as listed in Alexandria.

Results
The calculation puts the volume at 20.89 A^3/atom.

```
data_TaSbIN2
_chemical_formula_sum 'Ta1 Sb1 I1 N2'
_space_group_name_H-M_alt 'P 4/m m m'
_space_group_IT_number 123
_space_group_name_Hall '-P 4 2'
_cell_length_a 4.119
_cell_length_b 4.119
_cell_length_c 6.159
_cell_angle_alpha 90.00
_cell_angle_beta 90.00
_cell_angle_gamma 90.00
loop_
_atom_site_label
_atom_site_type_symbol
_atom_site_fract_x
_atom_site_fract_y
_atom_site_fract_z
Ta1 Ta 0.000 0.000 0.000
Sb1 Sb 0.500 0.500 0.500
I1 I 0.500 0.500 0.000
N1 N 0.000 0.500 0.500
```

***

Most stable of them? i.

***

i | First-principles (PBE-GGA) data for a relaxed structure of TcSb2IN, as listed in Alexandria.

Results
The calculation puts the volume at 20.88 A^3/atom.

```
data_TcSb2IN
_chemical_formula_sum 'Tc1 Sb2 I1 N1'
_space_group_name_H-M_alt 'P 4/m m m'
_space_group_IT_number 123
_space_group_name_Hall '-P 4 2'
_cell_length_a 4.745
_cell_length_b 4.745
_cell_length_c 4.637
_cell_angle_alpha 90.00
_cell_angle_beta 90.00
_cell_angle_gamma 90.00
loop_
_atom_site_label
_atom_site_type_symbol
_atom_site_fract_x
_atom_site_fract_y
_atom_site_fract_z
Tc1 Tc 0.000 0.000 0.000
Sb1 Sb 0.000 0.500 0.500
I1 I 0.500 0.500 0.000
N1 N 0.500 0.500 0.500
```

***

ii | First-principles (PBE-GGA) data for a relaxed structure of TcSb2IN, as listed in Alexandria.

Results
The calculation puts the volume at 30.44 A^3/atom.

```
data_TcSb2IN
_chemical_formula_sum 'Tc1 Sb2 I1 N1'
_space_group_name_H-M_alt 'P 4/m m m'
_space_group_IT_number 123
_space_group_name_Hall '-P 4 2'
_cell_length_a 5.077
_cell_length_b 5.077
_cell_length_c 5.904
_cell_angle_alpha 90.00
_cell_angle_beta 90.00
_cell_angle_gamma 90.00
loop_
_atom_site_label
_atom_site_type_symbol
_atom_site_fract_x
_atom_site_fract_y
_atom_site_fract_z
Tc1 Tc 0.000 0.000 0.000
Sb1 Sb 0.000 0.500 0.000
I1 I 0.000 0.000 0.500
N1 N 0.500 0.500 0.500
```

***

Most stable of them? i.

***

i | First-principles (PBE-GGA) data for a relaxed structure of SbTeIN2, as listed in Alexandria.

Results
The calculation puts the volume at 23.38 A^3/atom.

```
data_SbTeIN2
_chemical_formula_sum 'Sb1 Te1 I1 N2'
_space_group_name_H-M_alt 'P 4/m m m'
_space_group_IT_number 123
_space_group_name_Hall '-P 4 2'
_cell_length_a 4.213
_cell_length_b 4.213
_cell_length_c 6.584
_cell_angle_alpha 90.00
_cell_angle_beta 90.00
_cell_angle_gamma 90.00
loop_
_atom_site_label
_atom_site_type_symbol
_atom_site_fract_x
_atom_site_fract_y
_atom_site_fract_z
Sb1 Sb 0.000 0.000 0.000
Te1 Te 0.000 0.000 0.500
I1 I 0.500 0.500 0.500
N1 N 0.000 0.500 0.000
```

***

ii | First-principles (PBE-GGA) data for a relaxed structure of SbTeIN2, as listed in Alexandria.

Results
The calculation puts the volume at 28.01 A^3/atom.

```
data_SbTeIN2
_chemical_formula_sum 'Sb1 Te1 I1 N2'
_space_group_name_H-M_alt 'P 4/m m m'
_space_group_IT_number 123
_space_group_name_Hall '-P 4 2'
_cell_length_a 4.189
_cell_length_b 4.189
_cell_length_c 7.982
_cell_angle_alpha 90.00
_cell_angle_beta 90.00
_cell_angle_gamma 90.00
loop_
_atom_site_label
_atom_site_type_symbol
_atom_site_fract_x
_atom_site_fract_y
_atom_site_fract_z
Sb1 Sb 0.000 0.000 0.000
Te1 Te 0.500 0.500 0.500
I1 I 0.000 0.000 0.500
N1 N 0.000 0.500 0.000
```

***

Most stable of them? i.

***

i | First-principles (PBE-GGA) data for a relaxed structure of TiSb2IN, as listed in Alexandria.

Results
The calculation puts the volume at 21.24 A^3/atom.

```
data_TiSb2IN
_chemical_formula_sum 'Ti1 Sb2 I1 N1'
_space_group_name_H-M_alt 'P 4/m m m'
_space_group_IT_number 123
_space_group_name_Hall '-P 4 2'
_cell_length_a 4.764
_cell_length_b 4.764
_cell_length_c 4.679
_cell_angle_alpha 90.00
_cell_angle_beta 90.00
_cell_angle_gamma 90.00
loop_
_atom_site_label
_atom_site_type_symbol
_atom_site_fract_x
_atom_site_fract_y
_atom_site_fract_z
Ti1 Ti 0.000 0.000 0.000
Sb1 Sb 0.000 0.500 0.500
I1 I 0.500 0.500 0.000
N1 N 0.500 0.500 0.500
```

***

ii | First-principles (PBE-GGA) data for a relaxed structure of TiSb2IN, as listed in Alexandria.

Results
The calculation puts the volume at 31.30 A^3/atom.

```
data_TiSb2IN
_chemical_formula_sum 'Ti1 Sb2 I1 N1'
_space_group_name_H-M_alt 'P 4/m m m'
_space_group_IT_number 123
_space_group_name_Hall '-P 4 2'
_cell_length_a 5.278
_cell_length_b 5.278
_cell_length_c 5.619
_cell_angle_alpha 90.00
_cell_angle_beta 90.00
_cell_angle_gamma 90.00
loop_
_atom_site_label
_atom_site_type_symbol
_atom_site_fract_x
_atom_site_fract_y
_atom_site_fract_z
Ti1 Ti 0.000 0.000 0.000
Sb1 Sb 0.000 0.500 0.000
I1 I 0.000 0.000 0.500
N1 N 0.500 0.500 0.500
```

***

Most stable of them? i.